(1)
## ErCdSn3 (GGA-PBE)

Data for an optimized crystal structure of ErCdSn3.

extended XYZ file:
```
20
Lattice="6.2658 0.0000 0.0000 0.0000 6.2498 0.0000 0.0000 0.0000 13.0758" Properties=species:S:1:pos:R:3 pbc="T T T"
Er 4.6993 3.1814 8.9949
Er 1.5664 3.0684 4.0808
Er 4.6993 0.0565 4.0808
Er 1.5664 6.1933 8.9949
Cd 3.1329 1.5625 1.5404
Cd 0.0000 4.6874 11.5354
Cd 3.1329 4.6874 11.5354
Cd 0.0000 1.5625 1.5404
Sn 0.0000 1.5625 6.5412
Sn 3.1329 4.6874 6.5346
Sn 0.0000 4.6874 6.5346
Sn 3.1329 1.5625 6.5412
Sn 1.5664 1.2235 11.9904
Sn 4.6993 5.0263 1.0854
Sn 1.5664 4.3484 1.0854
Sn 4.6993 1.9014 11.9904
Sn 1.5664 3.0324 9.4482
Sn 4.6993 3.2174 3.6275
Sn 1.5664 6.1573 3.6275
Sn 4.6993 0.0925 9.4482
```

Computed properties:
**Uncorrected energy**: -3.794 eV/atom
**Magnetic moment**: 0.00 μB/f.u.

=====

(2)
## AlCoC3 (GGA-PBE)

Data for an optimized crystal structure of AlCoC3.

extended XYZ file:
```
5
Lattice="3.8349 0.0000 0.0000 0.0000 3.8349 0.0000 0.0000 0.0000 3.8349" Properties=species:S:1:pos:R:3 pbc="T T T"
C 0.0000 1.9174 0.0000
C 0.0000 0.0000 1.9174
C 1.9174 0.0000 0.0000
Co 1.9174 1.9174 1.9174
Al 0.0000 0.0000 0.0000
```

Computed properties:
**Energy above the most stable polymorph in this dataset**: 631.7 meV per atom
**Magnetic moment**: 0.00 μB/f.u.

=====

(3)
## SmGd2Br (GGA-PBE)

Data for an optimized crystal structure of SmGd2Br.

extended XYZ file:
```
4
Lattice="-2.8181 -1.7741 1.2971 -0.6688 -1.3169 -3.2542 5.6353 -7.5609 1.9015" Properties=species:S:1:pos:R:3 pbc="T T T"
Gd 4.2995 -5.7688 1.4508
Gd 1.3357 -1.7921 0.4507
Br -1.7434 -1.5455 -0.9785
Sm 1.0742 -5.3260 -0.0278
```

Computed properties:
**Energy above the most stable polymorph in this dataset**: 87.4 meV per atom
**ΔE_f (raw)**: -44.2 kJ per mole of atoms
**Magnetic moment**: 14.74 μB/f.u.

=====

(4)
## Pr3Sm12Ho (GGA-PBE)

Data for an optimized crystal structure of Pr3Sm12Ho.

extended XYZ file:
```
16
Lattice="-4.1073 -0.7896 -2.9912 1.3372 -4.9364 -0.5330 -11.1579 -4.8139 16.5922" Properties=species:S:1:pos:R:3 pbc="T T T"
Pr -2.7766 -1.1979 4.1289
Pr -5.5790 -2.4069 8.2961
Pr -8.3813 -3.6160 12.4633
Sm -1.3851 -2.8630 -1.7621
Sm -4.1560 -4.0585 2.3584
Sm -6.9640 -5.2699 6.5340
Sm -9.7720 -6.4814 10.7096
Sm -3.4254 -0.9866 0.5442
Sm -6.2312 -2.1971 4.7166
Sm -9.0340 -3.4063 8.8844
Sm -11.8398 -4.6169 13.0568
Sm -0.7031 -3.0600 1.7733
Sm -3.5090 -4.2705 5.9457
Sm -6.3117 -5.4797 10.1135
Sm -9.1176 -6.6903 14.2859
Ho 0.0000 0.0000 0.0000
```

Computed properties:
**Uncorrected energy**: -4.706 eV/atom
**Magnetic moment**: 0.00 μB/f.u.

=====

(5)
## NaGa2Ge (GGA-PBE)

Data for an optimized crystal structure of NaGa2Ge.

extended XYZ file:
```
4
Lattice="-0.2722 1.4623 -3.1269 -1.0601 -3.0204 -1.3203 -6.7443 1.7522 1.4066" Properties=species:S:1:pos:R:3 pbc="T T T"
Na -4.0383 0.0971 -1.5203
Ge -0.6662 -0.7791 -2.2236
Ga -5.3643 1.3937 1.1188
Ga -1.3800 0.3585 0.2878
```

Computed properties:
**Uncorrected energy**: -2.988 eV/atom
**Magnetic moment**: 0.00 μB/f.u.

=====

(6)
## NbGaH (GGA-PBE)

Data for an optimized crystal structure of NbGaH.

extended XYZ file:
```
3
Lattice="-3.9896 1.3319 -0.8328 -1.1566 -2.2618 1.9237 0.7153 2.8756 1.1719" Properties=species:S:1:pos:R:3 pbc="T T T"
H -0.3749 0.1252 -0.0783
Nb -1.3656 -0.2713 1.4992
Ga -2.6904 2.0917 0.8418
```

Computed properties:
**Energy above the most stable polymorph in this dataset**: 0.0 meV per atom
**Magnetic moment**: 0.00 μB/f.u.

=====

(7)
## BaZrSiB2 (GGA-PBE)

Data for an optimized crystal structure of BaZrSiB2.

extended XYZ file:
```
5
Lattice="4.2562 0.0000 0.0000 0.0000 5.2939 0.0000 0.0000 0.0000 4.2562" Properties=species:S:1:pos:R:3 pbc="T T T"
Si 0.0000 0.0000 0.0000
B 0.0000 0.0000 2.1281
B 2.1281 0.0000 0.0000
Ba 0.0000 2.6469 0.0000
Zr 2.1281 2.6469 2.1281
```

Computed properties:
**ΔE_f (raw)**: 150.5 kJ per mole of atoms
**Magnetic moment**: 0.00 μB/f.u.

=====

(8)
## Ca4PSe3 (GGA-PBE)

Data for an optimized crystal structure of Ca4PSe3.

extended XYZ file:
```
8
Lattice="-0.8435 -2.2288 5.4354 5.8568 0.1079 0.9531 -0.4568 5.4994 2.1842" Properties=species:S:1:pos:R:3 pbc="T T T"
P 0.0000 0.0000 0.0000
Ca -0.4217 -1.1144 2.7177
Ca 2.9284 0.0540 0.4766
Ca -0.2284 2.7497 1.0921
Ca 2.2783 1.6892 4.2863
Se 2.7000 2.8036 1.5686
Se -0.6501 1.6353 3.8098
Se 2.5067 -1.0604 3.1942
```

Computed properties:
**ΔE_f (raw)**: -160.8 kJ per mole of atoms
**Magnetic moment**: 0.01 μB/f.u.

=====

(9)
## CeTh2Hg4 (GGA-PBE)

Data for an optimized crystal structure of CeTh2Hg4.

extended XYZ file:
```
7
Lattice="5.0412 0.0000 -1.6070 -0.5123 5.0152 -1.6070 -0.1124 -0.1245 8.3581" Properties=species:S:1:pos:R:3 pbc="T T T"
Th 3.3042 3.6588 1.6545
Th 1.1124 1.2318 3.4896
Ce 0.0000 0.0000 0.0000
Hg 1.3998 4.3413 4.3914
Hg 4.1766 1.8337 4.3914
Hg 3.0167 0.5493 0.7527
Hg 0.2399 3.0569 0.7527
```

Computed properties:
**Uncorrected energy**: -3.260 eV/atom
**Magnetic moment**: 1.26 μB/f.u.

=====

(10)
## LiAcPrAl (GGA-PBE)

Data for an optimized crystal structure of LiAcPrAl.

extended XYZ file:
```
4
Lattice="5.4933 0.0000 0.0000 2.7466 4.7573 0.0000 2.7466 1.5858 4.4853" Properties=species:S:1:pos:R:3 pbc="T T T"
Pr 2.7466 1.5858 1.1213
Ac 8.2399 4.7573 3.3639
Al 5.4933 3.1716 2.2426
Li 0.0000 0.0000 0.0000
```

Computed properties:
**Energy above the most stable polymorph in this dataset**: 0.0 meV per atom
**Magnetic moment**: 0.00 μB/f.u.

=====

(11)
## GeSbMoW (GGA-PBE)

Data for an optimized crystal structure of GeSbMoW.

extended XYZ file:
```
8
Lattice="-0.7538 0.4474 4.3880 2.3149 -2.3857 0.6409 6.9707 6.8968 0.4943" Properties=species:S:1:pos:R:3 pbc="T T T"
Ge 0.2514 0.2488 0.0178
Ge 4.8943 2.5044 0.5854
Sb 1.9029 2.4793 2.3556
Sb 6.5457 4.7348 2.9232
Mo 3.8475 4.4032 2.4935
Mo 1.5196 -0.2380 2.5668
W 5.2164 5.1611 0.3699
W 2.8885 0.5199 0.4432
```

Computed properties:
**Energy above the most stable polymorph in this dataset**: 140.5 meV per atom
**ΔE_f (raw)**: 27.7 kJ per mole of atoms
**Magnetic moment**: 0.00 μB/f.u.

=====

(12)
## TlHgB (GGA-PBE)

Data for an optimized crystal structure of TlHgB.

extended XYZ file:
```
6
Lattice="5.8378 0.0851 -0.0228 -0.0602 4.1950 -0.0029 -2.2680 -2.1524 6.0795" Properties=species:S:1:pos:R:3 pbc="T T T"
Tl 0.5913 2.8231 0.0404
Tl 1.4157 -1.3714 6.0385
B 2.3125 2.8309 3.3301
B 0.7538 2.8091 3.2548
Hg 4.4508 2.8638 3.3414
Hg 1.5331 0.7223 2.4421
```

Computed properties:
**Uncorrected energy**: -2.599 eV/atom
**Magnetic moment**: 0.00 μB/f.u.